The following is a DFT calculation (PBE-GGA) of MgSiTc2 after structural relaxation.

## Properties
Uncorrected formation energy   -0.01 eV/atom
Magnetization   0.0 μB per formula unit
ΔE to the lowest computed polymorph   0.43 eV per formula unit

Geometry as POSCAR:
```
MgSiTc2
1.0
0.0000 3.0629 3.0629
3.0629 0.0000 3.0629
3.0629 3.0629 0.0000
Mg Si Tc
1 1 2
Cartesian
0.0000 0.0000 0.0000 Mg
1.5314 1.5314 1.5314 Si
3.0629 3.0629 3.0629 Tc
4.5943 4.5943 4.5943 Tc
```